No. 1
Compound: PrCuSi
Source: OQMD
Functional: GGA-PBE
Structure: relaxed

Cell: 4.2260 4.2260 7.9860 Å, 90.00 90.00 120.00°
Element x y z (fractional)
Pr 0.3333 0.6667 0.7490
Pr 0.3333 0.6667 0.2510
Si 0.0000 0.0000 0.5000
Si 0.6667 0.3333 0.0000
Cu 0.0000 0.0000 0.0000
Cu 0.6667 0.3333 0.5000

Computed properties:
* total moment: 0.00 μB/cell
* raw total energy: -5.24 eV/atom

***

No. 2
Compound: NdThZr
Source: OQMD
Functional: GGA-PBE
Structure: relaxed

Cell: 5.1765 5.1765 5.1765 Å, 60.00 60.00 60.00°
Element x y z (fractional)
Zr 0.2500 0.2500 0.2500
Nd 0.0000 0.0000 0.0000
Th 0.7500 0.7500 0.7500

Computed properties:
* total moment: 0.91 μB/cell
* DFT formation energy: 0.961 eV per atom

***

No. 3
Compound: Er3PS2
Source: OQMD
Functional: GGA-PBE
Structure: relaxed

Cell: 3.9023 3.9023 9.5186 Å, 90.00 90.00 120.00°
Element x y z (fractional)
S 0.3333 0.6667 0.6638
S 0.6667 0.3333 0.3362
P 0.0000 0.0000 0.0000
Er 0.0000 0.0000 0.5000
Er 0.3333 0.6667 0.1629
Er 0.6667 0.3333 0.8371

Computed properties:
* energy relative to the lowest polymorph listed for this composition: 0.0165 eV per atom
* total moment: 0.00 μB/cell

***

No. 4
Compound: NaHoHgSe3
Source: OQMD
Functional: GGA-PBE
Structure: relaxed

Cell: 7.2464 7.2464 11.0713 Å, 90.00 90.00 33.23°
Element x y z (fractional)
Se 0.3603 0.3603 0.0492
Se 0.3603 0.3603 0.4508
Se 0.6397 0.6397 0.5492
Se 0.6397 0.6397 0.9508
Se 0.9129 0.9129 0.7500
Se 0.0871 0.0871 0.2500
Ho 0.0000 0.0000 0.5000
Ho 0.0000 0.0000 0.0000
Na 0.2451 0.2451 0.7500
Na 0.7549 0.7549 0.2500
Hg 0.5410 0.5410 0.7500
Hg 0.4590 0.4590 0.2500

Computed properties:
* energy relative to the lowest polymorph listed for this composition: 0.0048 eV per atom
* total moment: 0.01 μB/cell

***

No. 5
Compound: TbHoPb
Source: OQMD
Functional: GGA-PBE
Structure: relaxed

Cell: 5.1642 5.1642 5.1642 Å, 60.00 60.00 60.00°
Element x y z (fractional)
Tb 0.7500 0.7500 0.7500
Ho 0.2500 0.2500 0.2500
Pb 0.0000 0.0000 0.0000

Computed properties:
* energy relative to the lowest polymorph listed for this composition: 0.0000 eV per atom
* total moment: 0.01 μB/cell

***

No. 6
Compound: GdHoIn4Ni2
Source: OQMD
Functional: GGA-PBE
Structure: relaxed

Cell: 7.3963 5.6582 5.6582 Å, 45.03 90.00 90.00°
Element x y z (fractional)
Ni 0.5000 0.2866 0.2866
Ni 0.0000 0.7142 0.7142
Ho 0.5000 0.5691 0.5691
In 0.3006 0.8568 0.8568
In 0.6994 0.8568 0.8568
In 0.2011 0.1427 0.1427
In 0.7989 0.1427 0.1427
Gd 0.0000 0.4310 0.4310

Computed properties:
* total moment: 0.01 μB/cell
* raw total energy: -4.36 eV/atom

***

No. 7
Compound: BeGe2Ir
Source: OQMD
Functional: GGA-PBE
Structure: relaxed

Cell: 4.3393 4.3393 4.3393 Å, 60.00 60.00 60.00°
Element x y z (fractional)
Be 0.7500 0.7500 0.7500
Ge 0.2500 0.2500 0.2500
Ge 0.0000 0.0000 0.0000
Ir 0.5000 0.5000 0.5000

Computed properties:
* total moment: 0.00 μB/cell
* raw total energy: -5.21 eV/atom

***

No. 8
Compound: Gd4BrN2Cl
Source: OQMD
Functional: GGA-PBE
Structure: relaxed

Cell: 3.5859 3.5859 13.8830 Å, 90.00 90.00 120.00°
Element x y z (fractional)
Gd 0.3333 0.6667 0.1629
Gd 0.0000 0.0000 0.6538
Gd 0.3333 0.6667 0.8371
Gd 0.0000 0.0000 0.3462
Cl 0.3333 0.6667 0.5000
N 0.6667 0.3333 0.2567
N 0.6667 0.3333 0.7433
Br 0.0000 0.0000 0.0000

Computed properties:
* total moment: 0.00 μB/cell
* raw total energy: -6.36 eV/atom

***

No. 9
Compound: ErSi3Ni4
Source: OQMD
Functional: GGA-PBE
Structure: relaxed

Cell: 5.0545 3.8401 5.7520 Å, 90.00 98.55 90.00°
Element x y z (fractional)
Ni 0.1811 0.0000 0.4957
Ni 0.8735 0.5000 0.4202
Ni 0.5905 0.5000 0.0424
Ni 0.2550 0.0000 0.0370
Si 0.8350 0.0000 0.1833
Si 0.2006 0.5000 0.7686
Si 0.3697 0.5000 0.3550
Er 0.6947 0.0000 0.6979

Computed properties:
* total moment: 0.01 μB/cell
* raw total energy: -5.91 eV/atom

***

No. 10
Compound: Sr2Zn2O5
Source: OQMD
Functional: GGA-PBE
Structure: relaxed

Cell: 8.3166 4.3477 4.3477 Å, 90.00 90.00 90.00°
Element x y z (fractional)
O 0.0915 0.0000 0.5000
O 0.9085 0.0000 0.5000
O 0.0915 0.5000 0.0000
O 0.5000 0.5000 0.5000
O 0.9085 0.5000 0.0000
Zn 0.0000 0.0000 0.0000
Zn 0.5000 0.0000 0.0000
Sr 0.2343 0.5000 0.5000
Sr 0.7657 0.5000 0.5000

Computed properties:
* energy relative to the lowest polymorph listed for this composition: 0.6962 eV per atom

***

No. 11
Compound: GaFe3
Source: OQMD
Functional: GGA-PBE
Structure: relaxed

Cell: 4.2881 4.2881 4.2881 Å, 127.48 127.48 77.47°
Element x y z (fractional)
Fe 0.7500 0.2500 0.5000
Fe 0.2500 0.7500 0.5000
Fe 0.5000 0.5000 0.0000
Ga 0.0000 0.0000 0.0000

Computed properties:
* total moment: 6.65 μB/cell
* raw total energy: -7.10 eV/atom

***

No. 12
Compound: Zr4Tl5Fe2
Source: OQMD
Functional: GGA-PBE
Structure: relaxed

Cell: 7.7372 3.3187 9.2591 Å, 90.00 94.51 90.00°
Element x y z (fractional)
Fe 0.5776 0.0000 0.1316
Fe 0.4224 0.0000 0.8684
Tl 0.3528 0.0000 0.3636
Tl 0.0000 0.0000 0.5000
Tl 0.9600 0.0000 0.1614
Tl 0.6472 0.0000 0.6364
Tl 0.0400 0.0000 0.8386
Zr 0.3109 0.5000 0.6657
Zr 0.6891 0.5000 0.3343
Zr 0.3064 0.5000 0.0649
Zr 0.6936 0.5000 0.9351

Computed properties:
* total moment: 1.34 μB/cell
* raw total energy: -5.77 eV/atom

***

No. 13
Compound: NaCuNiTeS2
Source: OQMD
Functional: GGA-PBE
Structure: relaxed

Cell: 7.2645 7.2645 9.7035 Å, 90.00 90.00 152.62°
Element x y z (fractional)
S 0.1096 0.8904 0.9644
S 0.8904 0.1096 0.0356
S 0.1096 0.8904 0.5356
S 0.8904 0.1096 0.4644
Cu 0.0544 0.9456 0.7500
Cu 0.9456 0.0544 0.2500
Na 0.7257 0.2743 0.7500
Na 0.2743 0.7257 0.2500
Ni 0.5000 0.5000 0.5000
Ni 0.5000 0.5000 0.0000
Te 0.4135 0.5865 0.7500
Te 0.5865 0.4135 0.2500

Computed properties:
* total moment: 0.02 μB/cell
* raw total energy: -3.99 eV/atom

***

No. 14
Compound: Nb8Ge2C3N3
Source: OQMD
Functional: GGA-PBE
Structure: relaxed

Cell: 3.1765 3.1765 23.4031 Å, 90.00 90.00 120.00°
Element x y z (fractional)
Nb 0.3333 0.6667 0.0570
Nb 0.3333 0.6667 0.4451
Nb 0.0000 0.0000 0.6600
Nb 0.0000 0.0000 0.3400
Nb 0.6667 0.3333 0.9430
Nb 0.0000 0.0000 0.8381
Nb 0.0000 0.0000 0.1619
Nb 0.6667 0.3333 0.5549
N 0.6667 0.3333 0.3907
N 0.3333 0.6667 0.6093
N 0.0000 0.0000 0.5000
C 0.3333 0.6667 0.8880
C 0.6667 0.3333 0.1120
C 0.0000 0.0000 0.0000
Ge 0.3333 0.6667 0.2519
Ge 0.6667 0.3333 0.7481

Computed properties:
* total moment: 0.01 μB/cell
* raw total energy: -9.53 eV/atom

***

No. 15
Compound: YNbPb
Source: OQMD
Functional: GGA-PBE
Structure: relaxed

Cell: 4.9886 4.9886 4.9886 Å, 60.00 60.00 60.00°
Element x y z (fractional)
Pb 0.2500 0.2500 0.2500
Y 0.7500 0.7500 0.7500
Nb 0.0000 0.0000 0.0000

Computed properties:
* energy relative to the lowest polymorph listed for this composition: 0.0000 eV per atom
* total moment: 3.58 μB/cell

***

No. 16
Compound: Hf4BiTeC2
Source: OQMD
Functional: GGA-PBE
Structure: relaxed

Cell: 3.4821 3.4821 13.6968 Å, 90.00 90.00 120.00°
Element x y z (fractional)
C 0.3333 0.6667 0.2576
C 0.3333 0.6667 0.7424
Hf 0.0000 0.0000 0.1740
Hf 0.0000 0.0000 0.8260
Hf 0.6667 0.3333 0.3437
Hf 0.6667 0.3333 0.6563
Bi 0.6667 0.3333 0.0000
Te 0.0000 0.0000 0.5000

Computed properties:
* total moment: 0.00 μB/cell
* raw total energy: -8.90 eV/atom

***

No. 17
Compound: PrPuBe
Source: OQMD
Functional: GGA-PBE
Structure: relaxed

Cell: 4.8058 4.8058 4.8058 Å, 60.00 60.00 60.00°
Element x y z (fractional)
Be 0.0000 0.0000 0.0000
Pr 0.2500 0.2500 0.2500
Pu 0.7500 0.7500 0.7500

Computed properties:
* energy relative to the lowest polymorph listed for this composition: 0.0000 eV per atom
* total moment: 5.81 μB/cell

***

No. 18
Compound: RbCuIrS3
Source: OQMD
Functional: GGA-PBE
Structure: relaxed

Cell: 12.0286 3.6783 12.4100 Å, 90.00 90.00 90.00°
Element x y z (fractional)
S 0.1146 0.0000 0.4073
S 0.4432 0.0000 0.2681
S 0.5568 0.5000 0.7319
S 0.6716 0.5000 0.3172
S 0.3854 0.5000 0.9073
S 0.0568 0.5000 0.7681
S 0.8854 0.5000 0.5927
S 0.1716 0.5000 0.1828
S 0.6146 0.0000 0.0927
S 0.8284 0.0000 0.8172
S 0.3284 0.0000 0.6828
S 0.9432 0.0000 0.2319
Cu 0.7622 0.0000 0.2673
Cu 0.7378 0.5000 0.7673
Cu 0.2378 0.5000 0.7327
Cu 0.2622 0.0000 0.2327
Rb 0.1660 0.0000 0.9635
Rb 0.8340 0.5000 0.0365
Rb 0.6660 0.0000 0.5365
Rb 0.3340 0.5000 0.4635
Ir 0.0377 0.5000 0.3129
Ir 0.4623 0.0000 0.8129
Ir 0.5377 0.5000 0.1871
Ir 0.9623 0.0000 0.6871

Computed properties:
* energy relative to the lowest polymorph listed for this composition: 0.0844 eV per atom
* total moment: 0.03 μB/cell

***

No. 19
Compound: Nd2Zn2O5
Source: OQMD
Functional: GGA-PBE
Structure: relaxed

Cell: 8.8878 4.0618 4.0618 Å, 90.00 90.00 90.00°
Element x y z (fractional)
Nd 0.2413 0.5000 0.5000
Nd 0.7587 0.5000 0.5000
Zn 0.5000 0.0000 0.0000
Zn 0.0000 0.0000 0.0000
O 0.5000 0.5000 0.5000
O 0.1329 0.5000 0.0000
O 0.8671 0.5000 0.0000
O 0.1329 0.0000 0.5000
O 0.8671 0.0000 0.5000

Computed properties:
* energy relative to the lowest polymorph listed for this composition: 0.5674 eV per atom
* total moment: 1.27 μB/cell

***

No. 20
Compound: CsZrAuS3
Source: OQMD
Functional: GGA-PBE
Structure: relaxed

Cell: 10.0773 8.1385 8.1385 Å, 27.58 90.00 90.00°
Element x y z (fractional)
S 0.2187 0.3883 0.3883
S 0.0000 0.0591 0.0591
S 0.5000 0.9409 0.9409
S 0.2813 0.6117 0.6117
S 0.7187 0.6117 0.6117
S 0.7813 0.3883 0.3883
Zr 0.2500 0.0000 0.0000
Zr 0.7500 0.0000 0.0000
Au 0.5000 0.5484 0.5484
Au 0.0000 0.4516 0.4516
Cs 0.5000 0.2540 0.2540
Cs 0.0000 0.7460 0.7460

Computed properties:
* energy relative to the lowest polymorph listed for this composition: 0.0225 eV per atom
* total moment: 0.02 μB/cell

***

No. 21
Compound: Li2Mg2AlSnIr2
Source: OQMD
Functional: GGA-PBE
Structure: relaxed

Cell: 4.4421 4.4421 6.3105 Å, 90.00 90.00 90.00°
Element x y z (fractional)
Li 0.0000 0.5000 0.7642
Li 0.5000 0.0000 0.2358
Al 0.0000 0.0000 0.0000
Ir 0.0000 0.5000 0.2384
Ir 0.5000 0.0000 0.7616
Mg 0.0000 0.0000 0.5000
Mg 0.5000 0.5000 0.0000
Sn 0.5000 0.5000 0.5000

Computed properties:
* total moment: 0.01 μB/cell
* raw total energy: -4.55 eV/atom

***

No. 22
Compound: ErThTa
Source: OQMD
Functional: GGA-PBE
Structure: relaxed

Cell: 4.9964 4.9964 4.9964 Å, 60.00 60.00 60.00°
Element x y z (fractional)
Er 0.0000 0.0000 0.0000
Ta 0.2500 0.2500 0.2500
Th 0.7500 0.7500 0.7500

Computed properties:
* total moment: 1.73 μB/cell
* DFT formation energy: 1.236 eV per atom

***

No. 23
Compound: ZnIn5Co2
Source: OQMD
Functional: GGA-PBE
Structure: relaxed

Cell: 6.7587 6.7587 7.0618 Å, 90.00 90.00 90.00°
Element x y z (fractional)
In 0.1727 0.6475 0.7599
In 0.3525 0.1727 0.2599
In 0.8273 0.3525 0.7599
In 0.3525 0.1727 0.7401
In 0.6475 0.8273 0.7401
In 0.0000 0.0000 0.0000
In 0.6475 0.8273 0.2599
In 0.8273 0.3525 0.2401
In 0.0000 0.0000 0.5000
In 0.1727 0.6475 0.2401
Zn 0.5000 0.5000 0.0000
Zn 0.5000 0.5000 0.5000
Co 0.3508 0.8490 0.5000
Co 0.1510 0.3508 0.0000
Co 0.8490 0.6492 0.0000
Co 0.6492 0.1510 0.5000

Computed properties:
* total moment: 1.22 μB/cell
* raw total energy: -3.70 eV/atom